The following is a PBE+U calculation of a relaxed structure of NaZnW2O8, from Alexandria.

Unit cell a=6.088 b=6.088 c=6.088 alpha=109.61 beta=109.61 gamma=109.20
Positions (direct):
Na: 0.000 0.000 0.000
Zn: 0.250 0.750 0.500
W: 0.500 0.500 0.000
W: 0.750 0.250 0.500
O: 0.354 0.138 0.784
O: 0.354 0.570 0.216
O: 0.391 0.097 0.294
O: 0.430 0.646 0.784
O: 0.803 0.097 0.706
O: 0.862 0.646 0.216
O: 0.903 0.197 0.294
O: 0.903 0.609 0.706

DFT total energy = -6.255 eV/atom
Spin magnetization = 1.10 μB per cell
Calculated density = 5583 kg/m³